# 1
DFT (PBE-GGA) results for crystalline Ho2ErCdN at its relaxed geometry.

Unit cell a=4.770 b=4.801 c=4.801 alpha=90.00 beta=90.00 gamma=90.00
Fractional positions:
Er 0.500 0.000 0.000
Cd 0.500 0.500 0.500
Ho 0.000 0.000 0.500
Ho 0.000 0.500 0.000
N 0.000 0.000 0.000

Size of the total moment = 0.00 μB per formula unit
Uncorrected energy = -0.20061 hartree per atom
Energy relative to the elements, uncorrected = -0.87 eV per atom

# 2
DFT (PBE-GGA) results for crystalline HoEr2CdN at its relaxed geometry.

Unit cell a=4.801 b=4.772 c=4.772 alpha=90.00 beta=90.00 gamma=90.00
Fractional positions:
Ho 0.500 0.000 0.000
Er 0.000 0.500 0.000
Cd 0.500 0.500 0.500
N 0.000 0.000 0.000
Er 0.000 0.000 0.500

Size of the total moment = 0.00 μB per formula unit
Uncorrected energy = -0.20065 hartree per atom
Energy relative to the elements, uncorrected = -0.87 eV per atom

# 3
DFT (PBE-GGA) results for crystalline NdHoErCd at its relaxed geometry.

Unit cell a=5.480 b=5.480 c=5.480 alpha=60.00 beta=60.00 gamma=60.00
Fractional positions:
Cd 0.000 0.000 0.000
Er 0.250 0.250 0.250
Ho 0.500 0.500 0.500
Nd 0.750 0.750 0.750

DFT formation energy = -8 kJ/mol of formula units
Size of the total moment = 0.00 μB per formula unit
Uncorrected energy = -0.13694 hartree per atom
Excess energy over the best structure of this formula in the dataset = 0.52 eV per formula unit

# 4
DFT (PBE-GGA) results for crystalline NdHoErCd at its relaxed geometry.

Unit cell a=3.614 b=3.614 c=9.015 alpha=90.00 beta=90.00 gamma=90.00
Fractional positions:
Cd 0.000 0.000 0.570
Er 0.500 0.500 0.351
Ho 0.500 0.500 0.792
Nd 0.000 0.000 0.072

DFT formation energy = -58 kJ/mol of formula units
Size of the total moment = 0.00 μB per formula unit
Uncorrected energy = -0.14170 hartree per atom
Excess energy over the best structure of this formula in the dataset = 0.00 eV per formula unit

# 5
DFT (PBE-GGA) results for crystalline HoErCdNi at its relaxed geometry.

Unit cell a=3.426 b=3.426 c=7.584 alpha=90.00 beta=90.00 gamma=90.00
Fractional positions:
Cd 0.000 0.000 0.073
Ni 0.000 0.000 0.569
Er 0.500 0.500 0.360
Ho 0.500 0.500 0.783

DFT formation energy = -148 kJ/mol of formula units
Size of the total moment = 0.00 μB per formula unit
Uncorrected energy = -0.15963 hartree per atom
Excess energy over the best structure of this formula in the dataset = 0.00 eV per formula unit

# 6
DFT (PBE-GGA) results for crystalline HoErCdNi at its relaxed geometry.

Unit cell a=5.018 b=5.018 c=5.018 alpha=60.00 beta=60.00 gamma=60.00
Fractional positions:
Ho 0.250 0.250 0.250
Ni 0.500 0.500 0.500
Er 0.750 0.750 0.750
Cd 0.000 0.000 0.000

DFT formation energy = -107 kJ/mol of formula units
Size of the total moment = 0.00 μB per formula unit
Uncorrected energy = -0.15567 hartree per atom
Excess energy over the best structure of this formula in the dataset = 0.43 eV per formula unit

# 7
DFT (PBE-GGA) results for crystalline HoEr2CdO at its relaxed geometry.

Unit cell a=4.758 b=4.738 c=4.738 alpha=90.00 beta=90.00 gamma=90.00
Fractional positions:
O 0.000 0.000 0.000
Er 0.000 0.500 0.000
Er 0.000 0.000 0.500
Cd 0.500 0.500 0.500
Ho 0.500 0.000 0.000

Size of the total moment = 0.00 μB per formula unit
Uncorrected energy = -0.19242 hartree per atom
Energy relative to the elements, uncorrected = -1.32 eV per atom

# 8
DFT (PBE-GGA) results for crystalline HoErCdOs at its relaxed geometry.

Unit cell a=4.981 b=4.981 c=4.981 alpha=60.00 beta=60.00 gamma=60.00
Fractional positions:
Er 0.750 0.750 0.750
Os 0.000 0.000 0.000
Ho 0.250 0.250 0.250
Cd 0.500 0.500 0.500

DFT formation energy = -92 kJ/mol of formula units
Size of the total moment = 0.00 μB per formula unit
Uncorrected energy = -0.20434 hartree per atom
Excess energy over the best structure of this formula in the dataset = 0.40 eV per formula unit

# 9
DFT (PBE-GGA) results for crystalline HoErCdOs at its relaxed geometry.

Unit cell a=3.427 b=3.427 c=7.726 alpha=90.00 beta=90.00 gamma=90.00
Fractional positions:
Ho 0.500 0.500 0.784
Er 0.500 0.500 0.358
Cd 0.000 0.000 0.073
Os 0.000 0.000 0.570

DFT formation energy = -131 kJ/mol of formula units
Size of the total moment = 0.00 μB per formula unit
Uncorrected energy = -0.20802 hartree per atom
Excess energy over the best structure of this formula in the dataset = 0.00 eV per formula unit

# 10
DFT (PBE-GGA) results for crystalline HoErCdPb at its relaxed geometry.

Unit cell a=5.311 b=5.311 c=5.311 alpha=60.00 beta=60.00 gamma=60.00
Fractional positions:
Ho 0.500 0.500 0.500
Cd 0.750 0.750 0.750
Er 0.000 0.000 0.000
Pb 0.250 0.250 0.250

DFT formation energy = -136 kJ/mol of formula units
Size of the total moment = 0.00 μB per formula unit
Uncorrected energy = -0.13945 hartree per atom

# 11
DFT (PBE-GGA) results for crystalline HoEr2CdPd4 at its relaxed geometry.

Unit cell a=4.852 b=4.852 c=8.404 alpha=73.22 beta=73.22 gamma=60.00
Fractional positions:
Pd 0.879 0.879 0.364
Cd 0.500 0.500 0.500
Er 0.244 0.244 0.267
Pd 0.372 0.372 0.883
Pd 0.628 0.628 0.117
Ho 0.000 0.000 0.000
Er 0.756 0.756 0.733
Pd 0.121 0.121 0.636

DFT formation energy = -644 kJ/mol of formula units
Size of the total moment = 0.00 μB per formula unit
Uncorrected energy = -0.19322 hartree per atom

# 12
DFT (PBE-GGA) results for crystalline HoErCdPd at its relaxed geometry.

Unit cell a=5.090 b=5.090 c=5.090 alpha=60.00 beta=60.00 gamma=60.00
Fractional positions:
Cd 0.750 0.750 0.750
Ho 0.500 0.500 0.500
Er 0.000 0.000 0.000
Pd 0.250 0.250 0.250

DFT formation energy = -217 kJ/mol of formula units
Size of the total moment = 0.00 μB per formula unit
Uncorrected energy = -0.16080 hartree per atom
Excess energy over the best structure of this formula in the dataset = 0.22 eV per formula unit